Density functional theory data (PBE) for a relaxed structure of Sr2TiZnFe.

```
Sr2TiZnFe
1.0
5.914 0.000 0.000
0.000 5.914 0.000
0.000 0.000 4.585
Sr Ti Zn Fe
2 1 1 1
Direct
0.000 0.500 0.000
0.500 0.000 0.000
0.000 0.000 0.500
0.500 0.500 0.000
0.500 0.500 0.500
```

Output
- Total magnetization: 0.565 μB per atom
- ΔH_f (0 K): 0.95 eV/atom